Record 1
K2BaNbS4 | GGA-PBE | relaxed

Computed properties:
Density of states at the Fermi level   0.1658 states/eV/atom
Total magnetization   1.01 μB/f.u.
Calculated density   2.66 Mg/m³
E_tot   -40.557 eV/f.u.

```
K2BaNbS4
1.0
-3.759 3.759 4.818
3.759 -3.759 4.818
3.759 3.759 -4.818
K Ba Nb S
2 1 1 4
Cartesian
0.000 0.000 0.000
0.000 3.759 2.409
0.000 0.000 4.818
3.759 0.000 2.409
2.227 -1.511 3.393
2.248 1.532 1.425
1.532 5.270 -1.425
1.511 2.227 6.244
```

---

Record 2
KBaNbS4 | GGA-PBE | relaxed

Computed properties:
Density of states at the Fermi level   0.0000 states/eV/atom
Total magnetization   0.00 μB/f.u.
E above lowest polymorph   0.00 eV/f.u.
Calculated density   3.14 Mg/m³

```
KBaNbS4
1.0
9.336 0.000 0.000
0.000 7.069 0.000
0.000 0.000 12.763
K Ba Nb S
4 4 4 16
Cartesian
1.265 1.767 0.955
3.403 5.302 7.336
5.933 1.767 5.426
8.071 5.302 11.808
0.191 5.302 4.137
4.477 1.767 10.518
4.859 5.302 2.245
9.145 1.767 8.626
2.139 1.767 5.404
2.528 5.302 11.785
6.807 1.767 0.977
7.196 5.302 7.359
0.148 5.302 7.436
1.692 0.070 10.735
1.692 3.465 10.735
1.812 5.302 1.202
2.856 1.767 7.583
2.976 3.605 4.354
2.976 7.000 4.354
4.520 1.767 1.055
4.816 5.302 11.707
6.360 0.070 8.409
6.360 3.465 8.409
6.480 5.302 5.179
7.524 1.767 11.561
7.644 3.605 2.028
7.644 7.000 2.028
9.188 1.767 5.326
```

---

Record 3
KBaNbS4 | GGA-PBE | relaxed

Computed properties:
Density of states at the Fermi level   0.0000 states/eV/atom
Total magnetization   0.00 μB/f.u.
E above lowest polymorph   0.02 eV/f.u.
Calculated density   2.96 Mg/m³

```
KBaNbS4
1.0
7.342 0.000 0.000
0.000 6.993 0.000
-2.527 0.000 8.677
K Ba Nb S
2 2 2 8
Cartesian
0.523 1.748 3.765
4.291 5.245 4.912
-0.418 1.748 8.211
5.233 5.245 0.467
1.589 5.245 1.740
3.226 1.748 6.938
-0.273 5.245 3.073
-1.531 5.245 8.202
2.953 0.048 2.129
2.953 3.449 2.129
1.862 3.545 6.548
1.862 6.945 6.548
6.346 1.748 0.476
5.088 1.748 5.605
```